# SmNi4As3 | Alexandria via LeMat-Bulk | GGA-PBE | optimized geometry
data_SmNi4As3
_chemical_formula_sum 'Sm1 Ni4 As3'
_space_group_name_H-M_alt 'P 4/m m m'
_space_group_IT_number 123
_space_group_name_Hall '-P 4 2'
_cell_length_a 4.032
_cell_length_b 4.032
_cell_length_c 7.638
_cell_angle_alpha 90.00
_cell_angle_beta 90.00
_cell_angle_gamma 90.00
loop_
_atom_site_label
_atom_site_fract_x
_atom_site_fract_y
_atom_site_fract_z
_atom_site_occupancy
Sm1 0.000 0.000 0.000 1
Ni1 0.000 0.500 0.327 1
As1 0.000 0.000 0.500 1
As2 0.500 0.500 0.170 1
# Calculated volume in A^3/atom: 15.522
# DOS at the Fermi energy in states/eV per atom: 0.515
# Crystal system: tetragonal
# Total magnetic moment in μB per formula unit: 0.00
# Total energy in eV per atom: -5.787